Material: KInI2F
Method: DFT, GGA-PBE
State: relaxed

Lattice parameters (Å, degrees): 6.2041 6.2041 4.5372 90.00 90.00 90.00
Fractional coordinates of all 5 atoms:
K: 0.0000 0.0000 0.0000
In: 0.5000 0.5000 0.5000
I: 0.0000 0.5000 0.5000
I: 0.5000 0.0000 0.5000
F: 0.5000 0.5000 0.0000

Output
* density: 4.06 g/cm3
* raw formation energy: -128.8 kJ per mole of atoms